Model w:
This record from the Alexandria database describes a relaxed structure of Sm2PN. The functional is PBE-GGA. Values from VASP.

Quantum ESPRESSO input file:
```
&SYSTEM
  ibrav = 0, nat = 4, ntyp = 3
/
ATOMIC_SPECIES
Sm 150.36 Sm.upf
P 30.97 P.upf
N 14.01 N.upf
CELL_PARAMETERS angstrom
1.872 1.081 6.713
-1.872 1.081 6.713
0.000 -2.161 6.713
ATOMIC_POSITIONS angstrom
Sm 0.000 0.000 0.000
Sm 0.000 0.000 3.070
P 0.000 0.000 11.574
N 0.000 0.000 8.146
```

Values from the calculation:
Density ... 7.05 Mg/m³


Model x:
This record from the Alexandria database describes a relaxed structure of Sm2PN. The functional is PBE-GGA. Values from VASP.

Quantum ESPRESSO input file:
```
&SYSTEM
  ibrav = 0, nat = 4, ntyp = 3
/
ATOMIC_SPECIES
Sm 150.36 Sm.upf
P 30.97 P.upf
N 14.01 N.upf
CELL_PARAMETERS angstrom
1.907 1.101 6.391
-1.907 1.101 6.391
0.000 -2.202 6.391
ATOMIC_POSITIONS angstrom
Sm 0.000 0.000 4.600
Sm 0.000 0.000 14.572
P 0.000 0.000 0.000
N 0.000 0.000 9.586
```

Values from the calculation:
Density ... 7.13 Mg/m³


It is model x that is the most stable of them.


Model w:
This record from the Alexandria database describes a relaxed structure of SnP2N. The functional is PBE-GGA. Values from VASP.

Quantum ESPRESSO input file:
```
&SYSTEM
  ibrav = 0, nat = 8, ntyp = 3
/
ATOMIC_SPECIES
Sn 118.71 Sn.upf
P 30.97 P.upf
N 14.01 N.upf
CELL_PARAMETERS angstrom
-2.445 2.445 5.882
2.445 -2.445 5.882
2.445 2.445 -5.882
ATOMIC_POSITIONS angstrom
Sn 0.000 0.000 0.000
Sn 0.000 2.445 2.941
P 1.223 -0.556 4.411
P 1.889 1.223 1.470
P 1.223 3.001 -1.470
P 0.556 1.223 7.352
N 2.445 0.000 2.941
N 0.000 0.000 5.882
```

Values from the calculation:
Density ... 4.60 Mg/m³


Model x:
This record from the Alexandria database describes a relaxed structure of SnP2N. The functional is PBE-GGA. Values from VASP.

Quantum ESPRESSO input file:
```
&SYSTEM
  ibrav = 0, nat = 4, ntyp = 3
/
ATOMIC_SPECIES
Sn 118.71 Sn.upf
P 30.97 P.upf
N 14.01 N.upf
CELL_PARAMETERS angstrom
0.000 3.158 3.158
3.158 0.000 3.158
3.158 3.158 0.000
ATOMIC_POSITIONS angstrom
Sn 0.000 0.000 0.000
P 1.579 1.579 1.579
P 4.736 4.736 4.736
N 3.158 3.158 3.158
```

Values from the calculation:
Density ... 5.13 Mg/m³


It is model w that is the most stable of them.


Model w:
This record from the Alexandria database describes a relaxed structure of SnPN2. The functional is PBE-GGA. Values from VASP.

Quantum ESPRESSO input file:
```
&SYSTEM
  ibrav = 0, nat = 8, ntyp = 3
/
ATOMIC_SPECIES
Sn 118.71 Sn.upf
P 30.97 P.upf
N 14.01 N.upf
CELL_PARAMETERS angstrom
-2.631 2.631 3.771
2.631 -2.631 3.771
2.631 2.631 -3.771
ATOMIC_POSITIONS angstrom
Sn 0.000 0.000 0.000
Sn 0.000 2.631 1.885
P 2.631 0.000 1.885
P 0.000 0.000 3.771
N 1.315 -0.156 2.828
N 2.475 1.315 0.943
N 1.315 2.786 -0.943
N 0.156 1.315 4.713
```

Values from the calculation:
Density ... 5.65 Mg/m³


Model x:
This record from the Alexandria database describes a relaxed structure of SnPN2. The functional is PBE-GGA. Values from VASP.

Quantum ESPRESSO input file:
```
&SYSTEM
  ibrav = 0, nat = 4, ntyp = 3
/
ATOMIC_SPECIES
Sn 118.71 Sn.upf
P 30.97 P.upf
N 14.01 N.upf
CELL_PARAMETERS angstrom
1.432 0.827 6.743
-1.432 0.827 6.743
0.000 -1.653 6.743
ATOMIC_POSITIONS angstrom
Sn 0.000 0.000 0.000
P 0.000 0.000 10.114
N 0.000 0.000 2.452
N 0.000 0.000 17.776
```

Values from the calculation:
Density ... 6.16 Mg/m³


It is model w that is the most stable of them.